(1)
Compound: HfTiFe2
Source: Alexandria
Functional: GGA-PBE
Structure: relaxed

E_form ... 0.602 eV per atom
E ... -8.0918 eV per atom
Energy above the lowest structure with this stoichiometry ... 0.9392 eV/atom
Space-group type ... No. 122

Unit cell a=4.0697 b=4.0697 c=8.5157 alpha=76.18 beta=76.18 gamma=90.00
With the nearest neighbours (Å) after each atom.
Fractional positions:
Fe 0.2292 0.6250 0.2500  2 Ti 2.32, 2 Fe 2.36
Fe 0.5208 0.1250 0.2500  2 Ti 2.32, 2 Fe 2.36
Fe 0.3750 0.4792 0.7500  2 Ti 2.32, 2 Fe 2.36
Fe 0.8750 0.7708 0.7500  2 Ti 2.32, 2 Fe 2.36
Ti 0.5000 0.5000 0.0000  4 Fe 2.32
Ti 0.2500 0.7500 0.5000  4 Fe 2.32
Hf 0.0000 0.0000 0.0000  4 Fe 2.67, 4 Ti 2.88
Hf 0.7500 0.2500 0.5000  4 Fe 2.67, 4 Ti 2.88

=====

(2)
Compound: VHgI3
Source: Alexandria
Functional: GGA-PBE
Structure: relaxed

Energy relative to the elements, uncorrected ... -114 meV per atom
E ... -2.9281 eV per atom
Energy above the lowest structure with this stoichiometry ... 0.2419 eV/atom
Space-group type ... No. 221

Unit cell a=5.5709 b=5.5709 c=5.5709 alpha=90.00 beta=90.00 gamma=90.00
With the nearest neighbours (Å) after each atom.
Fractional positions:
I 0.0000 0.5000 0.0000  2 V 2.79
I 0.0000 0.0000 0.5000  2 V 2.79
I 0.5000 0.0000 0.0000  2 V 2.79
Hg 0.5000 0.5000 0.5000  12 I 3.94
V 0.0000 0.0000 0.0000  6 I 2.79

=====

Question: What is the formula in the first record?
Answer: HfTiFe2

=====

Question: What is the energy above the lowest structure with this stoichiometry in the first record?
Answer: 0.9392 eV/atom

=====

Question: The lowest energy above the lowest structure with this stoichiometry belongs to which entry?
Answer: VHgI3